1.
Entry from the Open Quantum Materials Database: an optimized crystal structure of GdEr2Cu4Sn2Ge2 (PBE).

Unit cell a=4.329 b=6.722 c=14.452 alpha=90.00 beta=90.00 gamma=90.00
Space group Immm (No. 71)
Symmetry-distinct sites (fractional):
Gd 0.000 0.000 0.000 [2 per cell]
Er 0.000 0.500 0.125 [4 per cell]
Cu 0.000 0.310 0.341 [8 per cell]
Sn 0.000 0.000 0.219 [4 per cell]
Ge 0.000 0.189 0.500 [4 per cell]

2.
Entry from the Open Quantum Materials Database: an optimized crystal structure of ZnCuAgB (PBE).

Unit cell a=5.897 b=5.897 c=5.897 alpha=90.00 beta=90.00 gamma=90.00
Space group F-43m (No. 216)
Symmetry-distinct sites (fractional):
Zn 0.000 0.000 0.000 [4 per cell]
Cu 0.250 0.250 0.250 [4 per cell]
Ag 0.250 0.250 0.750 [4 per cell]
B 0.000 0.000 0.500 [4 per cell]

3.
Entry from the Open Quantum Materials Database: an optimized crystal structure of Dy3B7W (PBE).

Unit cell a=3.464 b=15.983 c=9.482 alpha=90.00 beta=90.00 gamma=90.00
Space group Cmcm (No. 63)
Symmetry-distinct sites (fractional):
Dy 0.000 0.107 0.060 [8 per cell]
Dy 0.000 0.244 0.750 [4 per cell]
B 0.000 0.272 0.033 [8 per cell]
B 0.000 0.365 0.147 [8 per cell]
B 0.000 0.456 0.750 [4 per cell]
B 0.000 0.480 0.092 [8 per cell]
W 0.000 0.054 0.750 [4 per cell]

4.
Entry from the Open Quantum Materials Database: an optimized crystal structure of MgCuB4 (PBE).

Unit cell a=3.030 b=5.218 c=6.843 alpha=90.00 beta=90.00 gamma=90.00
Space group Immm (No. 71)
Symmetry-distinct sites (fractional):
Mg 0.000 0.000 0.000 [2 per cell]
Cu 0.000 0.000 0.500 [2 per cell]
B 0.000 0.332 0.255 [8 per cell]

5.
Entry from the Open Quantum Materials Database: an optimized crystal structure of RbRe (PBE).

Unit cell a=2.8728 b=2.8728 c=6.2192 alpha=90.00 beta=90.00 gamma=120.00
Space group P-6m2 (No. 187)
Symmetry-distinct sites (fractional):
Rb 0.0000 0.0000 0.0000 [1 per cell]
Re 0.6667 0.3333 0.5000 [1 per cell]

6.
Entry from the Open Quantum Materials Database: an optimized crystal structure of BaReH9 (PBE).

Unit cell a=5.032 b=9.248 c=5.087 alpha=90.00 beta=117.29 gamma=90.00
Space group P2_1/m (No. 11)
Symmetry-distinct sites (fractional):
Ba 0.000 0.000 0.000 [2 per cell]
Re 0.339 0.250 0.640 [2 per cell]
H 0.028 0.142 0.507 [4 per cell]
H 0.163 0.250 0.270 [2 per cell]
H 0.247 0.250 0.924 [2 per cell]
H 0.297 0.750 0.092 [2 per cell]
H 0.420 0.087 0.809 [4 per cell]
H 0.486 0.642 0.506 [4 per cell]

no.,uncorrected energy (eV/atom)
1,-4.76
2,-2.98
3,-7.27
4,-5.24
5,-4.86
6,-4.33